[1]
Y2Er4Sc5 | PBE | relaxed Values from VASP.

The structure in Quantum ESPRESSO input format:
```
&SYSTEM
  ibrav = 0, nat = 11, ntyp = 3
/
ATOMIC_SPECIES
Y 88.91 Y.upf
Er 167.26 Er.upf
Sc 44.96 Sc.upf
ATOMIC_POSITIONS angstrom
Y 1.3946 0.0000 4.1600
Y 17.3697 0.0000 4.2229
Er 1.7214 0.0000 7.6745
Er 9.2295 0.0000 2.4121
Er 9.5348 0.0000 5.9709
Er 17.0429 0.0000 0.7085
Sc 0.0000 0.0000 0.0000
Sc 4.4359 0.0000 2.7762
Sc 6.2440 0.0000 6.8885
Sc 12.5202 0.0000 1.4944
Sc 14.3284 0.0000 5.6067
CELL_PARAMETERS angstrom
10.4378 -1.7751 0.0000
10.4378 1.7751 0.0000
-2.1114 0.0000 8.3829
```

M_tot = 0.000 μB/atom
total energy = -62.24 eV per formula unit
DFT formation energy = 0.05 eV/atom
energy above the most stable polymorph in this dataset = 0.000 eV per atom



[2]
Y6ErSc5 | PBE | relaxed Values from VASP.

The structure in Quantum ESPRESSO input format:
```
&SYSTEM
  ibrav = 0, nat = 12, ntyp = 3
/
ATOMIC_SPECIES
Y 88.91 Y.upf
Er 167.26 Er.upf
Sc 44.96 Sc.upf
ATOMIC_POSITIONS angstrom
Y -0.0017 1.7344 8.3171
Y 0.9832 0.0000 2.8222
Y -0.0017 -1.7344 8.3171
Y 3.9891 1.7344 2.8205
Y 3.0042 0.0000 8.3154
Y 3.9891 -1.7344 2.8205
Er 2.9903 0.0000 0.0000
Sc -0.9966 0.0000 5.5688
Sc 2.9903 3.4524 0.0000
Sc 1.9937 1.7270 5.5688
Sc 1.9937 -1.7270 5.5688
Sc 2.9903 -3.4524 0.0000
CELL_PARAMETERS angstrom
2.9903 -5.1770 0.0000
2.9903 5.1770 0.0000
-1.9931 0.0000 11.1376
```

M_tot = 0.000 μB/atom
total energy = -74.20 eV per formula unit
DFT formation energy = 0.07 eV/atom



> Which formula does entry 2 have?

Y6ErSc5



> Look up the DFT formation energy of the first one.

0.05 eV/atom



> Which value of DFT formation energy does entry 1 give?

0.05 eV/atom